# ThZr2 (PBE, optimized geometry)
data_ThZr2
_chemical_formula_sum 'Th4 Zr8'
_cell_length_a 17.3488
_cell_length_b 3.2655
_cell_length_c 5.4584
_cell_angle_alpha 90.00
_cell_angle_beta 90.00
_cell_angle_gamma 90.00
_space_group_name_H-M_alt 'P 1'
_space_group_IT_number 1
loop_
_space_group_symop_operation_xyz
'x,y,z'
loop_
_atom_site_label
_atom_site_type_symbol
_atom_site_fract_x
_atom_site_fract_y
_atom_site_fract_z
_atom_site_occupancy
Th1 Th 0.6001 0.5000 0.5000 1
Th2 Th 0.1001 0.0000 0.5000 1
Th3 Th 0.8443 0.5000 0.0000 1
Th4 Th 0.3443 0.0000 0.0000 1
Zr1 Zr 0.5111 0.5000 0.0000 1
Zr2 Zr 0.0111 0.0000 0.0000 1
Zr3 Zr 0.2653 0.5000 0.5000 1
Zr4 Zr 0.7653 0.0000 0.5000 1
Zr5 Zr 0.1791 0.5000 0.0000 1
Zr6 Zr 0.6791 0.0000 0.0000 1
Zr7 Zr 0.4333 0.0000 0.5000 1
Zr8 Zr 0.9333 0.5000 0.5000 1
# Symmetry: Cmcm (63)
# ΔE_f in eV/atom: 0.08